1.
VASP calculation (PBEsol) on an optimized crystal structure of LaZrSb2.

a = 3.9977 Å, b = 4.8559 Å, c = 5.8836 Å
α = 90.00°, β = 109.86°, γ = 90.00°
Closest atoms and distances in Å follow each position.
Sites, in units of the cell vectors:
Sb 0.9762 0.5000 0.9525  3 La 3.02-3.21, 4 Zr 3.16, 2 Sb 3.31
Zr 0.5014 0.0000 0.0028  7 Sb 3.01-3.22
La 0.2491 0.5000 0.4981  7 Sb 3.02-3.21
Sb 0.7733 0.0000 0.5466  3 Zr 3.01-3.22, 4 La 3.16, 2 Sb 3.31

E_form (uncorrected) (eV per formula unit): -2.86
Density (g/cm³): 7.3

2.
VASP calculation (PBEsol) on an optimized crystal structure of LaZrSb2.

a = 3.9230 Å, b = 5.1301 Å, c = 5.1301 Å
α = 99.83°, β = 91.08°, γ = 91.08°
Closest atoms and distances in Å follow each position.
Sites, in units of the cell vectors:
Sb 0.0000 0.0000 0.5000  4 La 3.20-3.26, 4 Zr 3.20-3.26, 2 Sb 3.30
Zr 0.5000 0.5000 0.5000  8 Sb 3.20-3.26, 2 La 3.30
Sb 0.0000 0.5000 0.0000  4 Zr 3.20-3.26, 4 La 3.20-3.26, 2 Sb 3.30
La 0.5000 0.0000 0.0000  8 Sb 3.20-3.26, 2 Zr 3.30

E_form (uncorrected) (eV per formula unit): -2.72
Density (g/cm³): 7.7

3.
VASP calculation (PBEsol) on an optimized crystal structure of LaZrSb2.

a = 3.2224 Å, b = 3.2224 Å, c = 10.4725 Å
α = 90.00°, β = 90.00°, γ = 90.00°
Closest atoms and distances in Å follow each position.
Sites, in units of the cell vectors:
La 0.5000 0.5000 0.7536  4 La 3.22, 4 Sb 3.34
Sb 0.0000 0.0000 0.9865  4 Sb 3.22, 4 La 3.34
Zr 0.0000 0.0000 0.4802  4 Sb 3.10, 4 Zr 3.22
Sb 0.5000 0.5000 0.2798  4 Zr 3.10, 4 Sb 3.22

E_form (uncorrected) (eV per formula unit): -0.73
Density (g/cm³): 7.2

4.
VASP calculation (PBEsol) on an optimized crystal structure of LaSc3.

a = 3.4200 Å, b = 4.4516 Å, c = 6.7817 Å
α = 90.00°, β = 90.00°, γ = 90.00°
Closest atoms and distances in Å follow each position.
Sites, in units of the cell vectors:
Sc 0.0000 0.0000 0.5000  10 Sc 3.22-3.42, 2 La 3.39
La 0.0000 0.0000 0.0000  10 Sc 3.34-3.39, 2 La 3.42
Sc 0.5000 0.5000 0.7334  7 Sc 3.17-3.42, 4 La 3.34
Sc 0.5000 0.5000 0.2666  7 Sc 3.17-3.42, 4 La 3.34

Formation energy from the elements (eV/atom): 0.0661
Density (g/cm³): 4.4

5.
VASP calculation (PBEsol) on an optimized crystal structure of LaSc3.

a = 5.8332 Å, b = 6.6609 Å, c = 10.6715 Å
α = 90.00°, β = 90.00°, γ = 90.00°
Closest atoms and distances in Å follow each position.
Sites, in units of the cell vectors:
Sc 0.7456 0.8799 0.4928  9 Sc 3.22-3.39, 3 La 3.27-3.36
Sc 0.7544 0.3799 0.9928  9 Sc 3.22-3.39, 3 La 3.27-3.36
Sc 0.5871 0.1328 0.7500  8 Sc 3.22-3.35, 4 La 3.31-3.47
Sc 0.2456 0.6201 0.0072  9 Sc 3.22-3.39, 3 La 3.27-3.36
Sc 0.7544 0.3799 0.5072  9 Sc 3.22-3.39, 3 La 3.27-3.36
Sc 0.4129 0.8672 0.2500  8 Sc 3.22-3.35, 4 La 3.31-3.47
Sc 0.2456 0.6201 0.4928  9 Sc 3.22-3.39, 3 La 3.27-3.36
Sc 0.7456 0.8799 0.0072  9 Sc 3.22-3.39, 3 La 3.27-3.36
Sc 0.9129 0.6328 0.2500  8 Sc 3.22-3.35, 4 La 3.31-3.47
La 0.0770 0.8645 0.7500  10 Sc 3.27-3.47, 2 La 3.29
La 0.9230 0.1355 0.2500  10 Sc 3.27-3.47, 2 La 3.29
Sc 0.2544 0.1201 0.9928  9 Sc 3.22-3.39, 3 La 3.27-3.36
Sc 0.0871 0.3672 0.7500  8 Sc 3.22-3.35, 4 La 3.31-3.47
Sc 0.2544 0.1201 0.5072  9 Sc 3.22-3.39, 3 La 3.27-3.36
La 0.5770 0.6355 0.7500  10 Sc 3.27-3.47, 2 La 3.29
La 0.4230 0.3645 0.2500  10 Sc 3.27-3.47, 2 La 3.29

Formation energy from the elements (eV/atom): 0.0805
Density (g/cm³): 4.4

6.
VASP calculation (PBEsol) on an optimized crystal structure of LaSc3.

a = 4.8234 Å, b = 4.8234 Å, c = 5.6245 Å
α = 115.39°, β = 115.39°, γ = 90.00°
Closest atoms and distances in Å follow each position.
Sites, in units of the cell vectors:
La 0.0000 0.0000 0.0000  12 Sc 3.29-3.41
Sc 0.2500 0.7500 0.5000  8 Sc 3.29-3.41, 4 La 3.29
Sc 0.5000 0.5000 0.0000  8 Sc 3.29, 4 La 3.41
Sc 0.7500 0.2500 0.5000  8 Sc 3.29-3.41, 4 La 3.29

Formation energy from the elements (eV/atom): 0.0834
Density (g/cm³): 4.4

7.
VASP calculation (PBEsol) on an optimized crystal structure of LaSc3.

a = 4.7074 Å, b = 4.7074 Å, c = 4.7074 Å
α = 90.00°, β = 90.00°, γ = 90.00°
Closest atoms and distances in Å follow each position.
Sites, in units of the cell vectors:
Sc 0.5000 0.5000 0.0000  8 Sc 3.33, 4 La 3.33
La 0.0000 0.0000 0.0000  12 Sc 3.33
Sc 0.0000 0.5000 0.5000  8 Sc 3.33, 4 La 3.33
Sc 0.5000 0.0000 0.5000  8 Sc 3.33, 4 La 3.33

Formation energy from the elements (eV/atom): 0.0867
Density (g/cm³): 4.4

8.
VASP calculation (PBEsol) on an optimized crystal structure of LaSc.

a = 3.5761 Å, b = 5.7421 Å, c = 6.2412 Å
α = 110.49°, β = 106.65°, γ = 90.00°
Closest atoms and distances in Å follow each position.
Sites, in units of the cell vectors:
La 0.3794 0.1681 0.7588  7 Sc 3.35-3.42, 4 La 3.48-3.58
Sc 0.1393 0.3388 0.2786  2 Sc 3.17, 7 La 3.35-3.42
Sc 0.8607 0.6612 0.7214  2 Sc 3.17, 7 La 3.35-3.42
La 0.6206 0.8319 0.2412  7 Sc 3.35-3.42, 4 La 3.48-3.58

Formation energy from the elements (eV/atom): 0.0615
Density (g/cm³): 5.3

9.
VASP calculation (PBEsol) on an optimized crystal structure of LaSc.

a = 3.3886 Å, b = 5.3212 Å, c = 6.6593 Å
α = 90.00°, β = 104.74°, γ = 90.00°
Closest atoms and distances in Å follow each position.
Sites, in units of the cell vectors:
Sc 0.0608 0.2500 0.1216  4 Sc 3.09-3.39, 6 La 3.43-3.46
La 0.6704 0.7500 0.3408  6 La 3.39-3.76, 7 Sc 3.43-3.46
La 0.3296 0.2500 0.6592  6 La 3.39-3.76, 7 Sc 3.43-3.46
Sc 0.9392 0.7500 0.8784  4 Sc 3.09-3.39, 6 La 3.43-3.46

Formation energy from the elements (eV/atom): 0.0638
Density (g/cm³): 5.3

10.
VASP calculation (PBEsol) on an optimized crystal structure of LaSc.

a = 3.4573 Å, b = 5.5745 Å, c = 5.8655 Å
α = 90.00°, β = 90.00°, γ = 90.00°
Closest atoms and distances in Å follow each position.
Sites, in units of the cell vectors:
Sc 0.5000 0.0000 0.0820  6 La 3.39-3.42, 6 Sc 3.42-3.46
La 0.0000 0.0000 0.5848  6 Sc 3.39-3.42, 6 La 3.43-3.46
La 0.5000 0.5000 0.4152  6 Sc 3.39-3.42, 6 La 3.43-3.46
Sc 0.0000 0.5000 0.9180  6 La 3.39-3.42, 6 Sc 3.42-3.46

Formation energy from the elements (eV/atom): 0.0757
Density (g/cm³): 5.4

11.
VASP calculation (PBEsol) on an optimized crystal structure of LaSc3.

a = 3.3668 Å, b = 5.6316 Å, c = 5.6316 Å
α = 107.76°, β = 90.00°, γ = 90.00°
Closest atoms and distances in Å follow each position.
Sites, in units of the cell vectors:
La 0.0000 0.0000 0.0000  10 Sc 3.28-3.32, 2 La 3.37
Sc 0.0000 0.5000 0.5000  10 Sc 3.28-3.37, 2 La 3.32
Sc 0.5000 0.5000 0.0000  8 Sc 3.28-3.37, 4 La 3.28
Sc 0.5000 0.0000 0.5000  4 La 3.28, 8 Sc 3.28-3.37

Formation energy from the elements (eV/atom): 0.0560
Density (g/cm³): 4.5

12.
VASP calculation (PBEsol) on an optimized crystal structure of La3Sc5.

a = 4.9165 Å, b = 6.6535 Å, c = 6.6535 Å
α = 95.49°, β = 90.00°, γ = 90.00°
Closest atoms and distances in Å follow each position.
Sites, in units of the cell vectors:
Sc 0.5000 0.2481 0.2481  6 La 3.25-3.40, 6 Sc 3.31-3.48
Sc 0.0000 0.0000 0.5000  6 La 3.32-3.33, 6 Sc 3.33-3.48
Sc 0.0000 0.0000 0.0000  8 Sc 3.31-3.33, 4 La 3.42
La 0.5000 0.2409 0.7591  10 Sc 3.25-3.42, 2 La 3.54
Sc 0.5000 0.7519 0.7519  6 La 3.25-3.40, 6 Sc 3.31-3.48
Sc 0.0000 0.5000 0.0000  6 La 3.32-3.33, 6 Sc 3.33-3.48
La 0.0000 0.5000 0.5000  8 Sc 3.33-3.34, 4 La 3.54
La 0.5000 0.7591 0.2409  10 Sc 3.25-3.42, 2 La 3.54

Formation energy from the elements (eV/atom): 0.0662
Density (g/cm³): 4.9

Please write out number 10 again, unchanged.
VASP calculation (PBEsol) on an optimized crystal structure of LaSc.

a = 3.4573 Å, b = 5.5745 Å, c = 5.8655 Å
α = 90.00°, β = 90.00°, γ = 90.00°
Closest atoms and distances in Å follow each position.
Sites, in units of the cell vectors:
Sc 0.5000 0.0000 0.0820  6 La 3.39-3.42, 6 Sc 3.42-3.46
La 0.0000 0.0000 0.5848  6 Sc 3.39-3.42, 6 La 3.43-3.46
La 0.5000 0.5000 0.4152  6 Sc 3.39-3.42, 6 La 3.43-3.46
Sc 0.0000 0.5000 0.9180  6 La 3.39-3.42, 6 Sc 3.42-3.46

Formation energy from the elements (eV/atom): 0.0757
Density (g/cm³): 5.4